# 1
The following is a PBE calculation of crystalline BaMn2BeNi at its relaxed geometry, from Alexandria via LeMat-Bulk.

Formation enthalpy at 0 K ... 2331.6 meV per atom

```
5
Lattice="5.317 0.000 0.000 0.000 4.828 0.000 0.000 0.000 5.317" Properties=species:S:1:pos:R:3 pbc="T T T"
Ba 0.000 0.000 0.000
Mn 0.000 0.000 2.658
Mn 2.658 0.000 0.000
Be 2.658 2.414 2.658
Ni 0.000 2.414 0.000
```



# 2
The following is a PBE calculation of crystalline VPdPtAu at its relaxed geometry, from Alexandria via LeMat-Bulk.

Formation enthalpy at 0 K ... -284.7 meV per atom
Energy above the lowest structure with this stoichiometry ... 0.0 meV/atom

```
4
Lattice="-1.973 0.613 -1.907 -1.997 -0.400 1.938 0.424 7.596 2.003" Properties=species:S:1:pos:R:3 pbc="T T T"
Pt -1.649 6.134 1.605
Au 0.031 0.557 0.147
V 0.243 4.355 1.148
Pd -1.839 2.724 0.706
```



# 3
The following is a PBE calculation of crystalline NdYHoZn at its relaxed geometry, from Alexandria via LeMat-Bulk.

Formation enthalpy at 0 K ... 40.3 meV per atom
Energy above the lowest structure with this stoichiometry ... 208.1 meV/atom

```
4
Lattice="5.395 0.000 0.000 2.698 4.672 0.000 2.698 1.557 4.405" Properties=species:S:1:pos:R:3 pbc="T T T"
Zn 0.000 0.000 0.000
Y 8.093 4.672 3.304
Ho 5.395 3.115 2.203
Nd 2.698 1.557 1.101
```



# 4
The following is a PBE calculation of crystalline Li3HPb at its relaxed geometry, from Alexandria via LeMat-Bulk.

Energy above the lowest structure with this stoichiometry ... 0.0 meV/atom

```
5
Lattice="-1.078 3.234 2.471 0.101 -2.534 3.361 4.069 0.920 0.571" Properties=species:S:1:pos:R:3 pbc="T T T"
Pb 1.546 0.810 3.202
Li 0.051 -1.267 1.680
Li 2.034 0.460 0.286
Li -0.539 1.617 1.236
H 0.000 0.000 0.000
```



# 5
The following is a PBE calculation of crystalline Np2TeN at its relaxed geometry, from Alexandria via LeMat-Bulk.

Energy above the lowest structure with this stoichiometry ... 478.4 meV/atom
Energy relative to the elements, uncorrected ... -237.6 meV/atom

```
4
Lattice="3.319 0.000 0.000 0.000 3.319 0.000 0.000 0.000 7.102" Properties=species:S:1:pos:R:3 pbc="T T T"
Np 0.000 0.000 5.719
Np 0.000 0.000 1.383
N 1.659 1.659 0.000
Te 1.659 1.659 3.551
```



# 6
The following is a PBE calculation of crystalline RbBPb at its relaxed geometry, from Alexandria via LeMat-Bulk.

Formation enthalpy at 0 K ... 175.7 meV per atom

```
6
Lattice="-8.763 -8.649 1.778 1.891 -2.437 3.399 -1.061 2.180 2.154" Properties=species:S:1:pos:R:3 pbc="T T T"
Rb -2.952 -3.281 4.917
Rb 0.702 -0.940 4.561
Pb -5.883 -4.690 2.442
Pb -5.953 -7.938 3.253
B -2.021 -0.991 2.941
B -1.494 -2.081 1.866
```



# 7
The following is a PBE calculation of crystalline FeRe2Hg at its relaxed geometry, from Alexandria via LeMat-Bulk.

Formation enthalpy at 0 K ... 420.4 meV per atom
Energy above the lowest structure with this stoichiometry ... 49.8 meV/atom

```
4
Lattice="-2.472 1.399 0.036 -0.480 -0.915 2.646 3.602 6.294 2.831" Properties=species:S:1:pos:R:3 pbc="T T T"
Re -0.563 1.837 2.058
Re 0.106 0.184 0.083
Fe 1.723 3.010 1.354
Hg 1.186 4.893 3.433
```



# 8
The following is a PBE calculation of crystalline TaAlOs at its relaxed geometry, from Alexandria via LeMat-Bulk.

Formation enthalpy at 0 K ... -60.8 meV per atom

```
3
Lattice="-0.351 1.195 -2.604 -2.288 -0.453 1.700 0.784 6.027 2.660" Properties=species:S:1:pos:R:3 pbc="T T T"
Os -0.740 2.621 -0.297
Al 0.012 0.091 0.040
Ta -1.127 4.057 2.014
```



# 9
The following is a PBE calculation of crystalline LaSbAs2 at its relaxed geometry, from Alexandria via LeMat-Bulk.

Energy relative to the elements, uncorrected ... 42.6 meV/atom

```
4
Lattice="10.614 0.005 0.003 10.101 3.259 0.003 10.101 1.592 2.844" Properties=species:S:1:pos:R:3 pbc="T T T"
Sb 23.112 3.642 2.137
As 15.433 2.432 1.427
As 30.791 4.852 2.848
La 7.704 1.214 0.712
```



# 10
The following is a PBE calculation of crystalline RbZrCrCd2 at its relaxed geometry, from Alexandria via LeMat-Bulk.

Formation enthalpy at 0 K ... 2472.6 meV per atom

```
5
Lattice="-0.733 -5.366 -0.866 5.165 -0.610 -0.591 0.505 -0.937 5.380" Properties=species:S:1:pos:R:3 pbc="T T T"
Cr 2.469 -3.456 1.962
Cd -0.366 -2.683 -0.433
Cd 0.253 -0.468 2.690
Rb 0.000 0.000 0.000
Zr 2.582 -0.305 -0.295
```



What did the tenth record say?
The following is a PBE calculation of crystalline RbZrCrCd2 at its relaxed geometry, from Alexandria via LeMat-Bulk.

Formation enthalpy at 0 K ... 2472.6 meV per atom

```
5
Lattice="-0.733 -5.366 -0.866 5.165 -0.610 -0.591 0.505 -0.937 5.380" Properties=species:S:1:pos:R:3 pbc="T T T"
Cr 2.469 -3.456 1.962
Cd -0.366 -2.683 -0.433
Cd 0.253 -0.468 2.690
Rb 0.000 0.000 0.000
Zr 2.582 -0.305 -0.295
```